[1]
VASP calculation (PBE) on crystalline Na2TbPm3S6 at its relaxed geometry.

Geometry as CIF:
```
data_Na2TbPm3S6
_symmetry_space_group_name_H-M 'C 1 2/m 1'
_symmetry_Int_Tables_number 12
_cell_length_a 6.971
_cell_length_b 12.061
_cell_length_c 6.971
_cell_angle_alpha 90.00
_cell_angle_beta 109.38
_cell_angle_gamma 90.00
loop_
_symmetry_equiv_pos_as_xyz
'x,y,z'
'-x,-y,-z'
'-x,y,-z'
'x,-y,z'
'x+1/2,y+1/2,z'
'-x+1/2,-y+1/2,-z'
'-x+1/2,y+1/2,-z'
'x+1/2,-y+1/2,z'
loop_
_atom_site_label
_atom_site_type_symbol
_atom_site_fract_x
_atom_site_fract_y
_atom_site_fract_z
_atom_site_occupancy
Na1 Na 0.000 0.166 0.000 1
Tb1 Tb 0.000 0.500 0.000 1
Pm1 Pm 0.000 0.000 0.500 1
Pm2 Pm 0.000 0.330 0.500 1
S1 S 0.241 0.500 0.748 1
S2 S 0.246 0.337 0.247 1
```

Results
Formation energy without anion corrections ... -1879 meV per atom
M_tot ... 0.0 μB/cell
DFT total energy ... -5.74 eV/atom

[2]
VASP calculation (PBE) on crystalline Na3Tb2PmS6 at its relaxed geometry.

Geometry as CIF:
```
data_Na3Tb2PmS6
_symmetry_space_group_name_H-M 'C 1 2/m 1'
_symmetry_Int_Tables_number 12
_cell_length_a 6.993
_cell_length_b 12.112
_cell_length_c 7.082
_cell_angle_alpha 90.00
_cell_angle_beta 109.21
_cell_angle_gamma 90.00
loop_
_symmetry_equiv_pos_as_xyz
'x,y,z'
'-x,-y,-z'
'-x,y,-z'
'x,-y,z'
'x+1/2,y+1/2,z'
'-x+1/2,-y+1/2,-z'
'-x+1/2,y+1/2,-z'
'x+1/2,-y+1/2,z'
loop_
_atom_site_label
_atom_site_type_symbol
_atom_site_fract_x
_atom_site_fract_y
_atom_site_fract_z
_atom_site_occupancy
Na1 Na 0.000 0.000 0.000 1
Na2 Na 0.000 0.333 0.000 1
Tb1 Tb 0.000 0.167 0.500 1
Pm1 Pm 0.000 0.500 0.500 1
S1 S 0.238 0.000 0.729 1
S2 S 0.246 0.331 0.729 1
```

Results
Formation energy without anion corrections ... -1833 meV per atom
M_tot ... 0.0 μB/cell
DFT total energy ... -5.39 eV/atom